# LuPuAu (GGA-PBE, relaxed)
# Energy of formation from the pure elements (eV per atom): 0.189
# Size of the total moment (μB per formula unit): 5.9
data_LuPuAu
_chemical_formula_sum 'Lu1 Pu1 Au1'
_space_group_name_H-M_alt 'P 1'
_space_group_IT_number 1
_cell_length_a 4.722
_cell_length_b 4.722
_cell_length_c 4.722
_cell_angle_alpha 60.00
_cell_angle_beta 60.00
_cell_angle_gamma 60.00
loop_
_space_group_symop_operation_xyz
'x,y,z'
loop_
_atom_site_label
_atom_site_fract_x
_atom_site_fract_y
_atom_site_fract_z
_atom_site_occupancy
Pu1 0.250 0.250 0.250 1
Au1 0.750 0.750 0.750 1
Lu1 0.000 0.000 0.000 1



# Lu2ReAu (GGA-PBE, relaxed)
# Energy of formation from the pure elements (eV per atom): 0.152
# Size of the total moment (μB per formula unit): 0.0
data_Lu2ReAu
_chemical_formula_sum 'Lu2 Re1 Au1'
_space_group_name_H-M_alt 'P 1'
_space_group_IT_number 1
_cell_length_a 4.812
_cell_length_b 4.812
_cell_length_c 4.812
_cell_angle_alpha 60.00
_cell_angle_beta 60.00
_cell_angle_gamma 60.00
loop_
_space_group_symop_operation_xyz
'x,y,z'
loop_
_atom_site_label
_atom_site_fract_x
_atom_site_fract_y
_atom_site_fract_z
_atom_site_occupancy
Lu1 0.000 0.000 0.000 1
Lu2 0.250 0.250 0.250 1
Re1 0.750 0.750 0.750 1
Au1 0.500 0.500 0.500 1



# Lu7Au2S2 (GGA-PBE, relaxed)
# Uncorrected energy (eV per atom): -5.20
# Size of the total moment (μB per formula unit): 0.0
data_Lu7Au2S2
_chemical_formula_sum 'Lu7 Au2 S2'
_space_group_name_H-M_alt 'P 1'
_space_group_IT_number 1
_cell_length_a 8.807
_cell_length_b 8.807
_cell_length_c 8.807
_cell_angle_alpha 154.69
_cell_angle_beta 68.81
_cell_angle_gamma 117.23
loop_
_space_group_symop_operation_xyz
'x,y,z'
loop_
_atom_site_label
_atom_site_fract_x
_atom_site_fract_y
_atom_site_fract_z
_atom_site_occupancy
S1 0.161 0.661 0.500 1
S2 0.768 0.768 0.000 1
Lu1 0.452 0.632 0.820 1
Lu2 0.128 0.256 0.873 1
Lu3 0.383 0.256 0.127 1
Lu4 0.033 0.418 0.615 1
Lu5 0.812 0.632 0.180 1
Lu6 0.520 0.020 0.500 1
Lu7 0.802 0.418 0.385 1
Au1 0.190 0.927 0.263 1
Au2 0.664 0.927 0.737 1



# LuSnAuSe2S (GGA-PBE, relaxed)
# Uncorrected energy (eV per atom): -4.66
# Size of the total moment (μB per formula unit): 0.0
data_LuSnAuSe2S
_chemical_formula_sum 'Lu2 Sn2 Au2 Se4 S2'
_space_group_name_H-M_alt 'P 1'
_space_group_IT_number 1
_cell_length_a 7.068
_cell_length_b 7.068
_cell_length_c 10.204
_cell_angle_alpha 90.00
_cell_angle_beta 90.00
_cell_angle_gamma 146.90
loop_
_space_group_symop_operation_xyz
'x,y,z'
loop_
_atom_site_label
_atom_site_fract_x
_atom_site_fract_y
_atom_site_fract_z
_atom_site_occupancy
Au1 0.466 0.534 0.250 1
Au2 0.534 0.466 0.750 1
Lu1 0.000 0.000 0.500 1
Lu2 0.000 0.000 0.000 1
Se1 0.353 0.647 0.454 1
Se2 0.647 0.353 0.546 1
Se3 0.353 0.647 0.046 1
Se4 0.647 0.353 0.954 1
S1 0.087 0.913 0.250 1
S2 0.913 0.087 0.750 1
Sn1 0.744 0.256 0.250 1
Sn2 0.256 0.744 0.750 1



# LuSnAuSeS2 (GGA-PBE, relaxed)
# Uncorrected energy (eV per atom): -4.88
# Size of the total moment (μB per formula unit): 0.0
data_LuSnAuSeS2
_chemical_formula_sum 'Lu2 Sn2 Au2 Se2 S4'
_space_group_name_H-M_alt 'P 1'
_space_group_IT_number 1
_cell_length_a 7.451
_cell_length_b 7.451
_cell_length_c 10.436
_cell_angle_alpha 90.00
_cell_angle_beta 90.00
_cell_angle_gamma 148.59
loop_
_space_group_symop_operation_xyz
'x,y,z'
loop_
_atom_site_label
_atom_site_fract_x
_atom_site_fract_y
_atom_site_fract_z
_atom_site_occupancy
Se1 0.437 0.563 0.250 1
Se2 0.563 0.437 0.750 1
S1 0.874 0.126 0.525 1
S2 0.874 0.126 0.975 1
S3 0.126 0.874 0.475 1
S4 0.126 0.874 0.025 1
Lu1 0.500 0.500 0.000 1
Lu2 0.500 0.500 0.500 1
Sn1 0.199 0.801 0.750 1
Sn2 0.801 0.199 0.250 1
Au1 0.854 0.146 0.750 1
Au2 0.146 0.854 0.250 1



# SrLuAuSe2S (GGA-PBE, relaxed)
# Uncorrected energy (eV per atom): -4.89
# Size of the total moment (μB per formula unit): 0.0
data_SrLuAuSe2S
_chemical_formula_sum 'Sr2 Lu2 Au2 Se4 S2'
_space_group_name_H-M_alt 'P 1'
_space_group_IT_number 1
_cell_length_a 7.124
_cell_length_b 7.124
_cell_length_c 10.335
_cell_angle_alpha 90.00
_cell_angle_beta 90.00
_cell_angle_gamma 146.60
loop_
_space_group_symop_operation_xyz
'x,y,z'
loop_
_atom_site_label
_atom_site_fract_x
_atom_site_fract_y
_atom_site_fract_z
_atom_site_occupancy
Sr1 0.755 0.245 0.750 1
Sr2 0.245 0.755 0.250 1
S1 0.582 0.418 0.250 1
S2 0.418 0.582 0.750 1
Au1 0.032 0.968 0.750 1
Au2 0.968 0.032 0.250 1
Se1 0.856 0.144 0.452 1
Se2 0.144 0.856 0.952 1
Se3 0.144 0.856 0.548 1
Se4 0.856 0.144 0.048 1
Lu1 0.500 0.500 0.000 1
Lu2 0.500 0.500 0.500 1



# LuSnAuS3 (GGA-PBE, relaxed)
# Uncorrected energy (eV per atom): -4.91
# Size of the total moment (μB per formula unit): 0.0
data_LuSnAuS3
_chemical_formula_sum 'Lu2 Sn2 Au2 S6'
_space_group_name_H-M_alt 'P 1'
_space_group_IT_number 1
_cell_length_a 8.850
_cell_length_b 8.850
_cell_length_c 8.196
_cell_angle_alpha 102.65
_cell_angle_beta 102.65
_cell_angle_gamma 25.04
loop_
_space_group_symop_operation_xyz
'x,y,z'
loop_
_atom_site_label
_atom_site_fract_x
_atom_site_fract_y
_atom_site_fract_z
_atom_site_occupancy
S1 0.500 0.500 0.500 1
S2 0.000 0.000 0.000 1
S3 0.310 0.310 0.673 1
S4 0.690 0.690 0.327 1
S5 0.675 0.675 0.862 1
S6 0.325 0.325 0.138 1
Au1 0.458 0.458 0.776 1
Au2 0.542 0.542 0.224 1
Lu1 0.836 0.836 0.910 1
Lu2 0.164 0.164 0.090 1
Sn1 0.132 0.132 0.582 1
Sn2 0.868 0.868 0.418 1



# LuSnAuS3 (GGA-PBE, relaxed)
# Uncorrected energy (eV per atom): -5.04
# Size of the total moment (μB per formula unit): 0.0
data_LuSnAuS3
_chemical_formula_sum 'Lu4 Sn4 Au4 S12'
_space_group_name_H-M_alt 'P 1'
_space_group_IT_number 1
_cell_length_a 10.191
_cell_length_b 3.979
_cell_length_c 14.256
_cell_angle_alpha 90.00
_cell_angle_beta 90.00
_cell_angle_gamma 90.00
loop_
_space_group_symop_operation_xyz
'x,y,z'
loop_
_atom_site_label
_atom_site_fract_x
_atom_site_fract_y
_atom_site_fract_z
_atom_site_occupancy
Au1 0.261 0.250 0.098 1
Au2 0.239 0.750 0.598 1
Au3 0.739 0.750 0.902 1
Au4 0.761 0.250 0.402 1
Sn1 0.255 0.750 0.939 1
Sn2 0.755 0.750 0.561 1
Sn3 0.745 0.250 0.061 1
Sn4 0.245 0.250 0.439 1
S1 0.738 0.250 0.691 1
S2 0.987 0.250 0.371 1
S3 0.262 0.750 0.309 1
S4 0.467 0.750 0.617 1
S5 0.533 0.250 0.383 1
S6 0.487 0.250 0.129 1
S7 0.762 0.750 0.191 1
S8 0.013 0.750 0.629 1
S9 0.967 0.750 0.883 1
S10 0.513 0.750 0.871 1
S11 0.238 0.250 0.809 1
S12 0.033 0.250 0.117 1
Lu1 0.017 0.750 0.242 1
Lu2 0.517 0.750 0.258 1
Lu3 0.483 0.250 0.742 1
Lu4 0.983 0.250 0.758 1



# LuSnAuS3 (GGA-PBE, relaxed)
# Uncorrected energy (eV per atom): -4.99
# Size of the total moment (μB per formula unit): 0.0
data_LuSnAuS3
_chemical_formula_sum 'Lu4 Sn4 Au4 S12'
_space_group_name_H-M_alt 'P 1'
_space_group_IT_number 1
_cell_length_a 11.497
_cell_length_b 3.911
_cell_length_c 12.777
_cell_angle_alpha 90.00
_cell_angle_beta 90.00
_cell_angle_gamma 90.00
loop_
_space_group_symop_operation_xyz
'x,y,z'
loop_
_atom_site_label
_atom_site_fract_x
_atom_site_fract_y
_atom_site_fract_z
_atom_site_occupancy
Au1 0.709 0.750 0.381 1
Au2 0.791 0.250 0.881 1
Au3 0.209 0.750 0.119 1
Au4 0.291 0.250 0.619 1
Lu1 0.526 0.250 0.149 1
Lu2 0.474 0.750 0.851 1
Lu3 0.026 0.250 0.351 1
Lu4 0.974 0.750 0.649 1
S1 0.472 0.250 0.704 1
S2 0.244 0.750 0.820 1
S3 0.028 0.750 0.204 1
S4 0.528 0.750 0.296 1
S5 0.256 0.250 0.320 1
S6 0.100 0.250 0.556 1
S7 0.400 0.750 0.056 1
S8 0.972 0.250 0.796 1
S9 0.744 0.750 0.680 1
S10 0.600 0.250 0.944 1
S11 0.756 0.250 0.180 1
S12 0.900 0.750 0.444 1
Sn1 0.152 0.250 0.934 1
Sn2 0.652 0.250 0.566 1
Sn3 0.348 0.750 0.434 1
Sn4 0.848 0.750 0.066 1



# LuSnAuS3 (GGA-PBE, relaxed)
# Uncorrected energy (eV per atom): -5.05
# Size of the total moment (μB per formula unit): 0.0
data_LuSnAuS3
_chemical_formula_sum 'Lu4 Sn4 Au4 S12'
_space_group_name_H-M_alt 'P 1'
_space_group_IT_number 1
_cell_length_a 9.967
_cell_length_b 3.958
_cell_length_c 14.472
_cell_angle_alpha 90.00
_cell_angle_beta 90.00
_cell_angle_gamma 90.00
loop_
_space_group_symop_operation_xyz
'x,y,z'
loop_
_atom_site_label
_atom_site_fract_x
_atom_site_fract_y
_atom_site_fract_z
_atom_site_occupancy
S1 0.203 0.250 0.293 1
S2 0.703 0.250 0.207 1
S3 0.004 0.250 0.893 1
S4 0.839 0.250 0.511 1
S5 0.504 0.250 0.607 1
S6 0.797 0.750 0.707 1
S7 0.161 0.750 0.489 1
S8 0.661 0.750 0.011 1
S9 0.339 0.250 0.989 1
S10 0.496 0.750 0.393 1
S11 0.996 0.750 0.107 1
S12 0.297 0.750 0.793 1
Au1 0.801 0.250 0.353 1
Au2 0.699 0.750 0.853 1
Au3 0.199 0.750 0.647 1
Au4 0.301 0.250 0.147 1
Lu1 0.335 0.250 0.462 1
Lu2 0.165 0.750 0.962 1
Lu3 0.665 0.750 0.538 1
Lu4 0.835 0.250 0.038 1
Sn1 0.018 0.750 0.296 1
Sn2 0.482 0.250 0.796 1
Sn3 0.982 0.250 0.704 1
Sn4 0.518 0.750 0.204 1